{"formula": "Sr2LiTe", "functional": "PBE", "state": "relaxed", "e_form_raw_kj_per_mol_fu": -215, "lattice": [[-2.7284, 2.7396, 4.6261], [2.7284, -2.7396, 4.6261], [2.7284, 2.7396, -4.6261]], "species": ["Sr", "Sr", "Li", "Te"], "fractional_positions": [[0.2496, 0.2496, 0.0000], [0.7504, 0.7504, 0.0000], [0.5000, 0.0000, 0.5000], [0.0000, 0.5000, 0.5000]]}

{"formula": "Ni3C", "functional": "PBE", "state": "relaxed", "e_above_lowest_polymorph_mev_per_atom": 366, "formation_energy_ev_per_atom": 0.43, "lattice": [[6.2393, 0.0000, 0.0000], [-3.1196, 5.4034, 0.0000], [0.0000, 0.0000, 2.5320]], "species": ["Ni", "Ni", "Ni", "Ni", "Ni", "Ni", "C", "C"], "fractional_positions": [[0.1991, 0.3982, 0.2500], [0.1991, 0.8009, 0.2500], [0.3982, 0.1991, 0.7500], [0.6018, 0.8009, 0.2500], [0.8009, 0.1991, 0.7500], [0.8009, 0.6018, 0.7500], [0.3333, 0.6667, 0.7500], [0.6667, 0.3333, 0.2500]]}

{"formula": "SmNp2S4", "functional": "PBE", "state": "relaxed", "e_form_raw_kj_per_mol_fu": -1066, "lattice": [[1.9339, -6.4965, 0.0000], [1.9339, 6.4965, 0.0000], [0.0000, 0.0000, 13.1117]], "species": ["Sm", "Sm", "Np", "Np", "Np", "Np", "S", "S", "S", "S", "S", "S", "S", "S"], "fractional_positions": [[0.1205, 0.8795, 0.7500], [0.8795, 0.1205, 0.2500], [0.3671, 0.6329, 0.5665], [0.3671, 0.6329, 0.9335], [0.6329, 0.3671, 0.0665], [0.6329, 0.3671, 0.4335], [0.0000, 0.0000, 0.0000], [0.0000, 0.0000, 0.5000], [0.2738, 0.7262, 0.1235], [0.2738, 0.7262, 0.3765], [0.4645, 0.5355, 0.7500], [0.5355, 0.4645, 0.2500], [0.7262, 0.2738, 0.6235], [0.7262, 0.2738, 0.8765]]}

{"formula": "NbTcP", "functional": "PBE", "state": "relaxed", "e_above_lowest_polymorph_mev_per_atom": 38, "formation_energy_ev_per_atom": -0.58, "lattice": [[4.5833, -1.9238, 0.0000], [4.5833, 1.9238, 0.0000], [-3.7682, 0.0000, 5.0887]], "species": ["Nb", "Nb", "Tc", "Tc", "P", "P"], "fractional_positions": [[0.0713, 0.0713, 0.3342], [0.9287, 0.9287, 0.6658], [0.3334, 0.3334, 0.9315], [0.6666, 0.6666, 0.0685], [0.3340, 0.3340, 0.3013], [0.6660, 0.6660, 0.6987]]}

{"formula": "MoOsAu2", "functional": "PBE", "state": "relaxed", "e_above_lowest_polymorph_mev_per_atom": 445, "formation_energy_ev_per_atom": 0.62, "lattice": [[0.0000, 3.2136, 3.2136], [3.2136, 0.0000, 3.2136], [3.2136, 3.2136, 0.0000]], "species": ["Mo", "Os", "Au", "Au"], "fractional_positions": [[0.0000, 0.0000, 0.0000], [0.7500, 0.7500, 0.7500], [0.2500, 0.2500, 0.2500], [0.5000, 0.5000, 0.5000]]}

{"formula": "SmPaTe3", "functional": "PBE", "state": "relaxed", "e_form_raw_kj_per_mol_fu": -487, "lattice": [[4.3589, 0.0000, 0.0000], [-2.1795, 3.7749, 0.0000], [0.0000, 0.0000, 22.2384]], "species": ["Sm", "Sm", "Pa", "Pa", "Te", "Te", "Te", "Te", "Te", "Te"], "fractional_positions": [[0.3333, 0.6667, 0.0000], [0.6667, 0.3333, 0.5000], [0.0000, 0.0000, 0.1783], [0.0000, 0.0000, 0.6783], [0.0000, 0.0000, 0.4236], [0.0000, 0.0000, 0.9236], [0.3333, 0.6667, 0.2577], [0.3333, 0.6667, 0.5918], [0.6667, 0.3333, 0.0918], [0.6667, 0.3333, 0.7577]]}